Entry 1:
GaPd7Pb2: relaxed, PBE.

Unit cell a=3.009 b=9.306 c=9.306 alpha=131.48 beta=90.00 gamma=90.00
Positions (direct):
Ga (0.000, 0.000, 0.000)
Pd (0.000, 0.805, 0.195)
Pd (0.000, 0.195, 0.805)
Pd (0.500, 0.104, 0.276)
Pd (0.500, 0.896, 0.724)
Pd (0.500, 0.276, 0.104)
Pd (0.500, 0.724, 0.896)
Pd (0.500, 0.500, 0.500)
Pb (0.500, 0.669, 0.331)
Pb (0.500, 0.331, 0.669)

- energy of formation from the pure elements (meV/atom) = -74.6
- density of states at the Fermi level (states/eV per cell) = 4.92
- spin magnetization (μB per formula unit) = 0.0



Entry 2:
SrZn3Co: relaxed, PBE.

Unit cell a=4.681 b=4.681 c=4.681 alpha=90.00 beta=90.00 gamma=90.00
Positions (direct):
Sr (0.500, 0.500, 0.500)
Zn (0.000, 0.500, 0.000)
Zn (0.000, 0.000, 0.500)
Zn (0.500, 0.000, 0.000)
Co (0.000, 0.000, 0.000)

- energy of formation from the pure elements (meV/atom) = -119.7
- density of states at the Fermi level (states/eV per cell) = 2.80
- spin magnetization (μB per formula unit) = 0.0
- offset from the most stable computed form (eV per atom) = 0.000



Entry 3:
AcSmP2: relaxed, PBE.

Unit cell a=3.653 b=5.192 c=5.192 alpha=90.00 beta=90.00 gamma=90.00
Positions (direct):
P (0.000, 0.000, 0.500)
P (0.000, 0.500, 0.000)
Ac (0.500, 0.000, 0.000)
Sm (0.500, 0.500, 0.500)

- energy of formation from the pure elements (meV/atom) = -1032.5
- density of states at the Fermi level (states/eV per cell) = 1.65
- spin magnetization (μB per formula unit) = 0.0
- offset from the most stable computed form (eV per atom) = 0.458



Entry 4:
YHfS2: relaxed, PBE.

Unit cell a=8.700 b=8.700 c=8.700 alpha=24.03 beta=24.03 gamma=24.03
Positions (direct):
Y (0.000, 0.000, 0.000)
S (0.893, 0.893, 0.893)
S (0.107, 0.107, 0.107)
Hf (0.500, 0.500, 0.500)

- density of states at the Fermi level (states/eV per cell) = 2.62
- spin magnetization (μB per formula unit) = 0.0
- offset from the most stable computed form (eV per atom) = 0.299
- E_form (uncorrected) (eV/atom) = -1.25



Question: The lowest density of states at the Fermi level belongs to which entry?
Answer: AcSmP2